Record 1
Compound: KGeTeN2
Source: Alexandria
Functional: PBE
Structure: relaxed

## Properties
Formation energy without anion corrections ... 2.042 eV per atom
Size of the total moment ... 5.0 μB/f.u.
Space group ... P4/mmm
N(E_F) ... 0.395 states/eV/atom
Crystal system ... tetragonal
Distance to the lowest polymorph of the same formula ... 0.943 eV/atom

Cell lengths 4.800, 4.800, 6.781 Å; angles 90.00, 90.00, 90.00 degrees
Atoms (fractional coordinates):
Ge1 0.500 0.500 0.500
Te1 0.000 0.000 0.500
K1 0.000 0.000 0.000
N1 0.000 0.500 0.000
N2 0.500 0.000 0.000



Record 2
Compound: KThGeN3
Source: Alexandria
Functional: PBE
Structure: relaxed

## Properties
Formation energy without anion corrections ... -0.555 eV per atom
Size of the total moment ... 0.0 μB/f.u.
Space group ... P2_1/m
Crystal system ... monoclinic

Cell lengths 3.653, 8.112, 8.435 Å; angles 98.80, 90.00, 90.00 degrees
Atoms (fractional coordinates):
K1 0.250 0.162 0.174
K2 0.750 0.838 0.826
Th1 0.250 0.624 0.156
Th2 0.750 0.376 0.844
Ge1 0.250 0.089 0.608
Ge2 0.750 0.911 0.392
N1 0.750 0.837 0.181
N2 0.250 0.163 0.819
N3 0.250 0.870 0.488
N4 0.750 0.130 0.512
N5 0.750 0.438 0.114
N6 0.250 0.562 0.886



Record 3
Compound: K2UGeN4
Source: Alexandria
Functional: PBE
Structure: relaxed

## Properties
Formation energy without anion corrections ... -0.319 eV per atom
Size of the total moment ... 0.0 μB/f.u.
Space group ... Pmn2_1
Crystal system ... orthorhombic

Cell lengths 5.278, 8.046, 6.630 Å; angles 90.00, 90.00, 90.00 degrees
Atoms (fractional coordinates):
K1 0.455 0.368 0.263
K2 0.455 0.368 0.737
K3 0.955 0.632 0.763
K4 0.955 0.632 0.237
U1 0.956 0.097 0.500
U2 0.456 0.903 0.000
Ge1 0.497 0.840 0.500
Ge2 0.997 0.160 0.000
N1 0.363 0.137 0.000
N2 0.863 0.863 0.500
N3 0.380 0.059 0.500
N4 0.880 0.941 0.000
N5 0.447 0.734 0.754
N6 0.947 0.266 0.254
N7 0.947 0.266 0.746
N8 0.447 0.734 0.246



Record 4
Compound: KGe2WN
Source: Alexandria
Functional: PBE
Structure: relaxed

## Properties
Formation energy without anion corrections ... 0.344 eV per atom
Size of the total moment ... 0.0 μB/f.u.
Space group ... P4/mmm
N(E_F) ... 0.715 states/eV/atom
Crystal system ... tetragonal

Cell lengths 5.139, 3.965, 5.139 Å; angles 90.00, 90.00, 90.00 degrees
Atoms (fractional coordinates):
Ge1 0.000 0.000 0.500
Ge2 0.500 0.000 0.000
K1 0.500 0.500 0.500
W1 0.000 0.000 0.000
N1 0.000 0.500 0.000



Record 5
Compound: K2ZrGeN
Source: Alexandria
Functional: PBE
Structure: relaxed

## Properties
Formation energy without anion corrections ... 1.095 eV per atom
Size of the total moment ... 3.3 μB/f.u.
Space group ... P4/mmm
N(E_F) ... 1.108 states/eV/atom
Crystal system ... tetragonal

Cell lengths 6.985, 3.672, 6.985 Å; angles 90.00, 90.00, 90.00 degrees
Atoms (fractional coordinates):
Ge1 0.000 0.000 0.000
K1 0.000 0.000 0.500
K2 0.500 0.000 0.000
Zr1 0.500 0.500 0.500
N1 0.000 0.500 0.000



Record 6
Compound: KZrGeN3
Source: Alexandria
Functional: PBE
Structure: relaxed

## Properties
Formation energy without anion corrections ... -0.573 eV per atom
Size of the total moment ... 0.0 μB/f.u.
Space group ... P2_1/m
N(E_F) ... 0.000 states/eV/atom
Crystal system ... monoclinic

Cell lengths 3.269, 7.480, 9.287 Å; angles 98.63, 90.00, 90.00 degrees
Atoms (fractional coordinates):
K1 0.250 0.155 0.209
K2 0.750 0.845 0.791
Zr1 0.250 0.612 0.125
Zr2 0.750 0.388 0.875
Ge1 0.250 0.125 0.586
Ge2 0.750 0.875 0.414
N1 0.750 0.796 0.222
N2 0.250 0.204 0.778
N3 0.250 0.858 0.523
N4 0.750 0.142 0.477
N5 0.750 0.411 0.096
N6 0.250 0.589 0.904



Record 7
Compound: KNaGe2
Source: Alexandria
Functional: PBE
Structure: relaxed

## Properties
Calculated formation energy ... 6.633 kcal/mol of atoms
Size of the total moment ... 0.0 μB/f.u.
Space group ... Fm-3m
N(E_F) ... 0.042 states/eV/atom
Crystal system ... cubic

Cell lengths 5.278, 5.278, 5.278 Å; angles 60.00, 60.00, 60.00 degrees
Atoms (fractional coordinates):
Na1 0.000 0.000 0.000
Ge1 0.250 0.250 0.250
Ge2 0.750 0.750 0.750
K1 0.500 0.500 0.500



Record 8
Compound: KNa2Ge
Source: Alexandria
Functional: PBE
Structure: relaxed

## Properties
Calculated formation energy ... 2.255 kcal/mol of atoms
Size of the total moment ... 0.0 μB/f.u.
Space group ... P4/mmm
N(E_F) ... 0.492 states/eV/atom
Crystal system ... tetragonal

Cell lengths 3.929, 3.929, 8.724 Å; angles 90.00, 90.00, 90.00 degrees
Atoms (fractional coordinates):
Na1 0.000 0.000 0.830
Na2 0.000 0.000 0.170
Ge1 0.500 0.500 0.000
K1 0.500 0.500 0.500



Record 9
Compound: KNa2Ge
Source: Alexandria
Functional: PBE
Structure: relaxed

## Properties
Calculated formation energy ... 1.145 kcal/mol of atoms
Size of the total moment ... 0.7 μB/f.u.
Space group ... R3m
N(E_F) ... 0.786 states/eV/atom
Crystal system ... trigonal

Cell lengths 5.228, 5.228, 6.780 Å; angles 67.32, 67.32, 60.00 degrees
Atoms (fractional coordinates):
K1 0.491 0.491 0.528
Na1 0.026 0.026 0.923
Na2 0.295 0.295 0.114
Ge1 0.688 0.688 0.935



Record 10
Compound: KNaGe2
Source: Alexandria
Functional: PBE
Structure: relaxed

## Properties
Calculated formation energy ... 3.208 kcal/mol of atoms
Size of the total moment ... 0.0 μB/f.u.
Space group ... I-42d
N(E_F) ... 0.405 states/eV/atom
Crystal system ... tetragonal

Cell lengths 5.018, 5.018, 11.029 Å; angles 76.85, 76.85, 90.00 degrees
Atoms (fractional coordinates):
Na1 0.500 0.500 0.000
Na2 0.250 0.750 0.500
Ge1 0.420 0.125 0.250
Ge2 0.330 0.625 0.250
Ge3 0.375 0.580 0.750
Ge4 0.875 0.670 0.750
K1 0.000 0.000 0.000
K2 0.750 0.250 0.500



Record 11
Compound: KNa2Ge
Source: Alexandria
Functional: PBE
Structure: relaxed

## Properties
Calculated formation energy ... -0.584 kcal/mol of atoms
Size of the total moment ... 0.0 μB/f.u.
Space group ... P2_1/c
N(E_F) ... 0.580 states/eV/atom
Crystal system ... monoclinic

Cell lengths 6.495, 9.412, 10.788 Å; angles 120.77, 90.00, 90.00 degrees
Atoms (fractional coordinates):
K1 0.416 0.098 0.378
K2 0.916 0.402 0.622
K3 0.584 0.902 0.622
K4 0.084 0.598 0.378
Na1 0.887 0.133 0.197
Na2 0.387 0.367 0.803
Na3 0.113 0.867 0.803
Na4 0.613 0.633 0.197
Na5 0.585 0.774 0.926
Na6 0.085 0.726 0.074
Na7 0.415 0.226 0.074
Na8 0.915 0.274 0.926
Ge1 0.578 0.456 0.385
Ge2 0.078 0.044 0.615
Ge3 0.422 0.544 0.615
Ge4 0.922 0.956 0.385



Record 12
Compound: K5Na2Ge4
Source: Alexandria
Functional: PBE
Structure: relaxed

## Properties
Calculated formation energy ... 1.314 kcal/mol of atoms
Size of the total moment ... 0.0 μB/f.u.
Space group ... C2/m
N(E_F) ... 0.683 states/eV/atom
Crystal system ... monoclinic

Cell lengths 6.619, 8.250, 10.036 Å; angles 58.37, 70.75, 66.35 degrees
Atoms (fractional coordinates):
K1 0.150 0.295 0.918
K2 0.850 0.705 0.082
K3 0.000 0.500 0.500
K4 0.637 0.295 0.918
K5 0.363 0.705 0.082
Na1 0.239 0.912 0.610
Na2 0.761 0.088 0.390
Ge1 0.393 0.949 0.266
Ge2 0.607 0.051 0.734
Ge3 0.763 0.735 0.740
Ge4 0.237 0.265 0.260